A plane-wave DFT calculation with PBE was carried out for a relaxed structure of ZrTlW.

abc: 7.346 7.346 7.346
angles: 156.81 156.81 33.03
Fractional coordinates of all 3 atoms:
Tl 0.995 0.995 0.000
W 0.332 0.332 0.000
Zr 0.674 0.674 0.000

Summary:
The value obtained for the uncorrected energy is -7.44 eV per atom. The energy above the most stable polymorph in this dataset comes out at 0.103 eV per atom. The value obtained for the formation energy is 0.5130 eV per atom.